(1)
Here is crystalline CsCd2HgPb at its relaxed geometry from Alexandria. Energies are from PBE.

Total magnetic moment (Bohr magnetons per cell): 0.000
Formation energy (eV/atom): -0.10

a b c (Å): 5.2604 5.2204 7.2627
angles (deg): 111.06 111.23 90.00
Atoms (fractional coordinates):
Cs (0.4389, 0.4389, 0.8778)
Cd (0.6887, 0.1887, 0.3773)
Cd (0.0652, 0.0652, 0.1303)
Hg (0.8283, 0.8283, 0.6565)
Pb (0.1912, 0.6912, 0.3823)



(2)
Here is crystalline LiPb2Se at its relaxed geometry from Alexandria. Energies are from PBE.

Total magnetic moment (Bohr magnetons per cell): 0.000
Formation energy from raw total energies (eV per atom): -0.22

a b c (Å): 6.1452 6.1452 6.1452
angles (deg): 137.52 137.52 61.64
Atoms (fractional coordinates):
Li (0.7500, 0.2500, 0.5000)
Pb (0.0000, 0.0000, 0.0000)
Pb (0.2500, 0.7500, 0.5000)
Se (0.5000, 0.5000, 0.0000)



(3)
Here is crystalline BaRe2Si at its relaxed geometry from Alexandria. Energies are from PBE.

Total magnetic moment (Bohr magnetons per cell): 0.000
Formation energy from raw total energies (eV per atom): 0.85

a b c (Å): 2.9963 2.9963 9.0748
angles (deg): 90.00 90.00 112.18
Atoms (fractional coordinates):
Ba (0.5000, 0.5000, 0.7500)
Re (0.0000, 0.0000, 0.0604)
Re (0.0000, 0.0000, 0.4396)
Si (0.5000, 0.5000, 0.2500)



(4)
Here is crystalline CuAs2Br at its relaxed geometry from Alexandria. Energies are from PBE.

Total magnetic moment (Bohr magnetons per cell): 0.000
Energy above the most stable polymorph in this dataset (eV per atom): 0.561
Formation energy from raw total energies (eV per atom): 0.54

a b c (Å): 7.1403 7.1403 2.8751
angles (deg): 90.00 90.00 139.82
Atoms (fractional coordinates):
As (0.0000, 0.0000, 0.0000)
As (0.5000, 0.5000, 0.0000)
Br (0.5000, 0.0000, 0.5000)
Cu (0.0000, 0.5000, 0.5000)



(5)
Here is crystalline Dy6Co2Hg at its relaxed geometry from Alexandria. Energies are from PBE.

Total magnetic moment (Bohr magnetons per cell): 0.000
Formation energy (eV/atom): -0.25

a b c (Å): 8.3446 8.3446 8.3446
angles (deg): 106.88 109.54 112.04
Atoms (fractional coordinates):
Dy (0.5225, 0.7091, 0.8135)
Dy (0.4775, 0.2909, 0.1865)
Dy (0.1044, 0.2909, 0.8135)
Dy (0.8956, 0.7091, 0.1865)
Dy (0.7910, 0.7738, 0.5648)
Dy (0.2090, 0.2262, 0.4352)
Dy (0.2090, 0.7738, 0.9827)
Dy (0.7910, 0.2262, 0.0173)
Dy (0.6982, 0.3816, 0.6833)
Dy (0.3018, 0.6184, 0.3167)
Dy (0.3018, 0.9851, 0.6833)
Dy (0.6982, 0.0149, 0.3167)
Co (0.5000, 0.3874, 0.8874)
Co (0.5000, 0.6126, 0.1126)
Co (0.6213, 0.0000, 0.6213)
Co (0.3787, 0.0000, 0.3787)
Hg (0.0000, 0.5000, 0.5000)
Hg (0.0000, 0.0000, 0.0000)



(6)
Here is crystalline Sm2Al5Pt at its relaxed geometry from Alexandria. Energies are from PBE.

Total magnetic moment (Bohr magnetons per cell): 0.000
Formation energy (eV/atom): -0.52

a b c (Å): 6.2617 6.2617 6.2617
angles (deg): 89.25 120.44 120.44
Atoms (fractional coordinates):
Sm (0.5000, 0.2472, 0.7472)
Sm (0.5000, 0.7472, 0.2472)
Al (0.4331, 0.7113, 0.7113)
Al (0.0000, 0.7113, 0.2782)
Al (0.0000, 0.2782, 0.7113)
Al (0.5669, 0.2782, 0.2782)
Al (0.0000, 0.2627, 0.2627)
Pt (0.0000, 0.9859, 0.9859)



(7)
Here is crystalline ZrTeCl2 at its relaxed geometry from Alexandria. Energies are from PBE.

Total magnetic moment (Bohr magnetons per cell): 0.000
Energy above the most stable polymorph in this dataset (eV per atom): 0.332
Formation energy from raw total energies (eV per atom): -1.01

a b c (Å): 9.1236 9.1236 7.0247
angles (deg): 49.50 49.50 90.00
Atoms (fractional coordinates):
Te (0.0000, 0.0000, 0.0000)
Te (0.7500, 0.2500, 0.5000)
Zr (0.5000, 0.5000, 0.0000)
Zr (0.2500, 0.7500, 0.5000)
Cl (0.4935, 0.1250, 0.2500)
Cl (0.2565, 0.6250, 0.2500)
Cl (0.3750, 0.5065, 0.7500)
Cl (0.8750, 0.7435, 0.7500)



(8)
Here is crystalline CoTc2Rh at its relaxed geometry from Alexandria. Energies are from PBE.

Total magnetic moment (Bohr magnetons per cell): 0.909
Energy above the most stable polymorph in this dataset (eV per atom): 0.149
Formation energy (eV/atom): 0.07

a b c (Å): 4.6567 4.6567 4.5931
angles (deg): 80.28 80.28 33.54
Atoms (fractional coordinates):
Co (0.2500, 0.2500, 0.2500)
Rh (0.7500, 0.7500, 0.7500)
Tc (0.9969, 0.9969, 0.0080)
Tc (0.5031, 0.5031, 0.4920)